Crystalline VCuP2O8 at its relaxed geometry. Source: the Alexandria database, functional GGA+U.

Computed properties:
**Mass density**: 4218 kg/m³
**Space group**: I-4m2 (119)
**DOS(E_F)**: 5.83 states/eV/cell
**Magnetization**: 2.05 μB/cell
**Calculated total energy**: -6.858 eV per atom
**E above lowest polymorph**: 0.155 eV per atom

Unit cell a=5.3930 b=5.3930 c=5.3930 alpha=106.70 beta=106.70 gamma=115.17
Last column: nearest neighbours and their distance in Å.
Element x y z (fractional)
V1 0.0000 0.0000 0.0000  8 O 2.06-2.17
Cu1 0.7500 0.2500 0.5000  8 O 2.11-2.28
P1 0.2500 0.7500 0.5000  4 O 1.55
P2 0.5000 0.5000 0.0000  4 O 1.56
O1 0.0838 0.3949 0.3111  1 P 1.55
O2 0.0838 0.7727 0.6889  1 P 1.55
O3 0.1396 0.3182 0.8214  1 P 1.56
O4 0.2273 0.9162 0.3111  1 P 1.55
O5 0.4967 0.3182 0.1786  1 P 1.56
O6 0.6051 0.9162 0.6889  1 P 1.55
O7 0.6818 0.5033 0.8214  1 P 1.56
O8 0.6818 0.8604 0.1786  1 P 1.56